VASP calculation (PBE) on a relaxed structure of YSi2Pt.

Geometry as POSCAR:
```
YSi2Pt
1.0
-3.3042 2.3695 2.3476
-0.2377 -0.3152 4.6784
1.1940 3.6769 2.6642
Pt Si Y
1 2 1
direct
0.5000 0.5000 0.5000
0.2500 0.2500 0.2500
0.0000 0.0000 0.0000
0.7500 0.7500 0.7500
```

## Properties
M_tot	0.0	μB per formula unit
ΔE_f (raw)	-0.294	eV per atom
D(E_F)	3.225	states/eV/f.u.
E_tot	-6.13	eV/atom